1.
CdCu4Os | PBE | relaxed

Output
* volume: 13.54 A^3/atom
* calculated formation energy: 33 kJ per mole of atoms

Unit cell a=4.861 b=4.861 c=4.861 alpha=60.00 beta=60.00 gamma=60.00
Sites, in units of the cell vectors:
Cd1 0.000 0.000 0.000
Cu1 0.127 0.624 0.624
Cu2 0.624 0.127 0.624
Cu3 0.624 0.624 0.127
Cu4 0.624 0.624 0.624
Os1 0.250 0.250 0.250

***

2.
ZnInSe2 | PBE | relaxed

Output
* volume: 29.18 A^3/atom
* energy relative to the elements, uncorrected: -0.236 eV per atom

Unit cell a=4.503 b=4.503 c=7.522 alpha=90.00 beta=90.00 gamma=130.08
Sites, in units of the cell vectors:
Zn1 0.000 0.000 0.000
In1 0.000 0.000 0.500
Se1 0.500 0.500 0.227
Se2 0.500 0.500 0.773

***

3.
InNiSnPd | PBE | relaxed

Output
* volume: 17.37 A^3/atom
* calculated formation energy: -21 kJ per mole of atoms

Unit cell a=4.615 b=4.615 c=4.615 alpha=60.00 beta=60.00 gamma=60.00
Sites, in units of the cell vectors:
In1 0.000 0.000 0.000
Ni1 0.250 0.250 0.250
Sn1 0.500 0.500 0.500
Pd1 0.750 0.750 0.750

***

4.
TcIr2Rh5 | PBE | relaxed

Output
* volume: 15.02 A^3/atom
* calculated formation energy: 26 kJ per mole of atoms

Unit cell a=7.239 b=7.239 c=7.239 alpha=125.88 beta=125.88 gamma=80.08
Sites, in units of the cell vectors:
Tc1 0.250 0.250 0.000
Tc2 0.750 0.750 0.000
Ir1 0.137 0.637 0.773
Ir2 0.363 0.137 0.500
Ir3 0.637 0.863 0.500
Ir4 0.863 0.363 0.227
Rh1 0.000 0.000 0.000
Rh2 0.017 0.819 0.500
Rh3 0.181 0.681 0.198
Rh4 0.319 0.517 0.500
Rh5 0.483 0.983 0.802
Rh6 0.500 0.500 0.000
Rh7 0.517 0.017 0.198
Rh8 0.681 0.483 0.500
Rh9 0.819 0.319 0.802
Rh10 0.983 0.181 0.500

***

5.
TbSm6Th3 | PBE | relaxed

Output
* volume: 33.39 A^3/atom
* calculated formation energy: 16 kJ per mole of atoms

Unit cell a=12.169 b=3.531 c=15.626 alpha=90.00 beta=95.86 gamma=90.00
Sites, in units of the cell vectors:
Tb1 0.063 0.250 0.292
Tb2 0.937 0.750 0.708
Sm1 0.108 0.250 0.538
Sm2 0.116 0.750 0.067
Sm3 0.227 0.750 0.704
Sm4 0.312 0.750 0.229
Sm5 0.435 0.250 0.823
Sm6 0.475 0.750 0.613
Sm7 0.525 0.250 0.387
Sm8 0.565 0.750 0.177
Sm9 0.688 0.250 0.771
Sm10 0.773 0.250 0.296
Sm11 0.884 0.250 0.933
Sm12 0.892 0.750 0.462
Th1 0.142 0.250 0.874
Th2 0.287 0.750 0.428
Th3 0.374 0.250 0.024
Th4 0.626 0.750 0.976
Th5 0.713 0.250 0.572
Th6 0.858 0.750 0.126

***

6.
HoSc2AlO | PBE | relaxed

Output
* volume: 18.27 A^3/atom
* energy relative to the elements, uncorrected: -1.414 eV per atom

Unit cell a=4.424 b=4.424 c=4.668 alpha=90.00 beta=90.00 gamma=90.00
Sites, in units of the cell vectors:
Ho1 0.000 0.000 0.000
Sc1 0.000 0.500 0.500
Sc2 0.500 0.000 0.500
Al1 0.500 0.500 0.000
O1 0.000 0.000 0.500

***

7.
ZrNbSeF2 | PBE | relaxed

Output
* volume: 19.24 A^3/atom
* energy relative to the elements, uncorrected: -1.355 eV per atom

Unit cell a=4.155 b=4.155 c=5.573 alpha=90.00 beta=90.00 gamma=90.00
Sites, in units of the cell vectors:
Zr1 0.000 0.000 0.000
Nb1 0.500 0.500 0.500
Se1 0.000 0.000 0.500
F1 0.000 0.500 0.000
F2 0.500 0.000 0.000

***

8.
RbSb2S | PBE | relaxed

Output
* volume: 37.06 A^3/atom
* energy relative to the elements, uncorrected: 0.062 eV per atom

Unit cell a=7.327 b=7.327 c=7.327 alpha=104.96 beta=104.96 gamma=118.93
Sites, in units of the cell vectors:
Rb1 0.000 0.000 0.000
Rb2 0.750 0.250 0.500
Sb1 0.254 0.625 0.129
Sb2 0.375 0.504 0.629
Sb3 0.496 0.125 0.871
Sb4 0.875 0.746 0.371
S1 0.250 0.750 0.500
S2 0.500 0.500 0.000

***

9.
AcLa2Tb5Ho | PBE | relaxed

Output
* volume: 34.57 A^3/atom
* calculated formation energy: 24 kJ per mole of atoms

Unit cell a=10.131 b=10.131 c=10.131 alpha=128.31 beta=128.31 gamma=76.12
Sites, in units of the cell vectors:
Ac1 0.250 0.250 0.000
Ac2 0.750 0.750 0.000
La1 0.117 0.617 0.735
La2 0.383 0.117 0.500
La3 0.617 0.883 0.500
La4 0.883 0.383 0.265
Tb1 0.000 0.000 0.000
Tb2 0.075 0.152 0.500
Tb3 0.152 0.652 0.077
Tb4 0.348 0.425 0.500
Tb5 0.425 0.925 0.077
Tb6 0.500 0.500 0.000
Tb7 0.575 0.075 0.923
Tb8 0.652 0.575 0.500
Tb9 0.848 0.348 0.923
Tb10 0.925 0.848 0.500
Ho1 0.250 0.750 0.500
Ho2 0.750 0.250 0.500

***

10.
LaCe2MoN5 | PBE | relaxed

Output
* volume: 14.70 A^3/atom
* energy relative to the elements, uncorrected: -1.197 eV per atom

Unit cell a=7.508 b=7.508 c=7.508 alpha=126.48 beta=126.48 gamma=79.10
Sites, in units of the cell vectors:
La1 0.250 0.250 0.000
La2 0.750 0.750 0.000
Ce1 0.174 0.674 0.848
Ce2 0.326 0.174 0.500
Ce3 0.674 0.826 0.500
Ce4 0.826 0.326 0.152
Mo1 0.250 0.750 0.500
Mo2 0.750 0.250 0.500
N1 0.000 0.000 0.000
N2 0.006 0.204 0.500
N3 0.204 0.704 0.197
N4 0.296 0.494 0.500
N5 0.494 0.994 0.197
N6 0.500 0.500 0.000
N7 0.506 0.006 0.803
N8 0.704 0.506 0.500
N9 0.796 0.296 0.803
N10 0.994 0.796 0.500

***

11.
TlCo2Sn2 | PBE | relaxed

Output
* volume: 18.06 A^3/atom
* calculated formation energy: 22 kJ per mole of atoms

Unit cell a=7.564 b=7.564 c=3.157 alpha=90.00 beta=90.00 gamma=90.00
Sites, in units of the cell vectors:
Tl1 0.000 0.000 0.000
Tl2 0.500 0.500 0.000
Co1 0.139 0.361 0.000
Co2 0.361 0.861 0.000
Co3 0.639 0.139 0.000
Co4 0.861 0.639 0.000
Sn1 0.151 0.651 0.500
Sn2 0.349 0.151 0.500
Sn3 0.651 0.849 0.500
Sn4 0.849 0.349 0.500

***

12.
CeTh2TlFe | PBE | relaxed

Output
* volume: 27.76 A^3/atom
* calculated formation energy: -11 kJ per mole of atoms

Unit cell a=7.269 b=4.831 c=8.219 alpha=90.00 beta=105.85 gamma=90.00
Sites, in units of the cell vectors:
Ce1 0.203 0.250 0.081
Ce2 0.797 0.750 0.919
Th1 0.087 0.750 0.402
Th2 0.461 0.250 0.678
Th3 0.539 0.750 0.322
Th4 0.913 0.250 0.598
Tl1 0.235 0.750 0.836
Tl2 0.765 0.250 0.164
Fe1 0.287 0.250 0.351
Fe2 0.713 0.750 0.649

***

13.
Sr3AlSn4 | PBE | relaxed

Output
* volume: 35.73 A^3/atom
* calculated formation energy: -34 kJ per mole of atoms

Unit cell a=9.555 b=9.555 c=9.555 alpha=149.37 beta=139.73 gamma=51.43
Sites, in units of the cell vectors:
Sr1 0.000 0.000 0.000
Sr2 0.304 0.804 0.500
Sr3 0.696 0.196 0.500
Al1 0.500 0.500 0.000
Sn1 0.099 0.381 0.717
Sn2 0.336 0.619 0.717
Sn3 0.664 0.381 0.283
Sn4 0.901 0.619 0.283

***

14.
YMgGaRu | PBE | relaxed

Output
* volume: 18.35 A^3/atom
* calculated formation energy: -19 kJ per mole of atoms

Unit cell a=4.699 b=4.699 c=4.699 alpha=60.00 beta=60.00 gamma=60.00
Sites, in units of the cell vectors:
Y1 0.000 0.000 0.000
Mg1 0.750 0.750 0.750
Ga1 0.250 0.250 0.250
Ru1 0.500 0.500 0.500

***

15.
RhPb2Cl | PBE | relaxed

Output
* volume: 23.65 A^3/atom
* energy relative to the elements, uncorrected: 0.007 eV per atom

Unit cell a=3.497 b=3.497 c=7.732 alpha=90.00 beta=90.00 gamma=90.00
Sites, in units of the cell vectors:
Rh1 0.000 0.000 0.000
Pb1 0.000 0.000 0.528
Pb2 0.500 0.500 0.835
Cl1 0.500 0.500 0.245

***

16.
SrSc2Be | PBE | relaxed

Output
* volume: 27.54 A^3/atom
* calculated formation energy: 94 kJ per mole of atoms

Unit cell a=11.686 b=11.686 c=11.686 alpha=16.34 beta=16.34 gamma=16.34
Sites, in units of the cell vectors:
Sr1 0.000 0.000 0.000
Sc1 0.421 0.421 0.421
Sc2 0.579 0.579 0.579
Be1 0.500 0.500 0.500

***

17.
CuAgPb3 | PBE | relaxed

Output
* volume: 29.02 A^3/atom
* calculated formation energy: 36 kJ per mole of atoms

Unit cell a=5.255 b=5.255 c=5.255 alpha=90.00 beta=90.00 gamma=90.00
Sites, in units of the cell vectors:
Cu1 0.000 0.000 0.000
Ag1 0.500 0.500 0.500
Pb1 0.000 0.000 0.500
Pb2 0.000 0.500 0.000
Pb3 0.500 0.000 0.000

***

18.
Tb4PrSc3 | PBE | relaxed

Output
* volume: 30.11 A^3/atom
* calculated formation energy: 13 kJ per mole of atoms

Unit cell a=8.625 b=8.625 c=3.391 alpha=101.28 beta=101.28 gamma=94.43
Sites, in units of the cell vectors:
Tb1 0.105 0.375 0.240
Tb2 0.375 0.105 0.240
Tb3 0.625 0.895 0.760
Tb4 0.895 0.625 0.760
Pr1 0.500 0.500 0.000
Sc1 0.000 0.000 0.000
Sc2 0.236 0.764 0.500
Sc3 0.764 0.236 0.500

***

19.
AcZrCu4 | PBE | relaxed

Output
* volume: 17.69 A^3/atom
* calculated formation energy: 8 kJ per mole of atoms

Unit cell a=5.314 b=5.314 c=5.314 alpha=60.00 beta=60.00 gamma=60.00
Sites, in units of the cell vectors:
Ac1 0.000 0.000 0.000
Zr1 0.750 0.750 0.750
Cu1 0.377 0.377 0.377
Cu2 0.377 0.377 0.868
Cu3 0.377 0.868 0.377
Cu4 0.868 0.377 0.377

***

20.
CeLuSn2 | PBE | relaxed

Output
* volume: 26.39 A^3/atom
* calculated formation energy: -56 kJ per mole of atoms

Unit cell a=4.875 b=4.875 c=4.443 alpha=90.00 beta=90.00 gamma=90.00
Sites, in units of the cell vectors:
Ce1 0.000 0.000 0.000
Lu1 0.500 0.500 0.000
Sn1 0.000 0.500 0.500
Sn2 0.500 0.000 0.500